No. 1
A plane-wave DFT calculation with PBE was carried out for crystalline Zn2SiMo at its relaxed geometry.

## Properties
Its formation energy (no corrections) is 0.171 eV/atom. As for the space-group type: P4mm, No. 99. The density of states at the Fermi level is 1.27 states/eV/f.u.

Geometry as POSCAR:
```
Zn2SiMo
1.0
2.681 0.000 0.000
0.000 2.681 0.000
0.000 0.000 8.401
Mo Si Zn
1 1 2
direct
0.000 0.000 0.502
0.500 0.500 0.739
0.000 0.000 0.008
0.500 0.500 0.252
```

***

No. 2
A plane-wave DFT calculation with PBE was carried out for crystalline Ce3PrNd2S6 at its relaxed geometry.

## Properties
Its formation energy (no corrections) is -2.038 eV/atom. As for the space-group type: C2/m, No. 12. The density of states at the Fermi level is 16.88 states/eV/f.u.

Geometry as POSCAR:
```
Ce3PrNd2S6
1.0
-1.525 6.332 -2.632
-5.068 -3.929 2.869
3.416 1.945 5.828
Ce Pr Nd S
3 1 2 6
direct
0.166 0.834 0.500
0.834 0.166 0.500
0.500 0.500 0.500
0.000 0.000 0.000
0.333 0.667 0.000
0.667 0.333 0.000
0.915 0.580 0.746
0.750 0.750 0.254
0.085 0.420 0.254
0.580 0.915 0.746
0.250 0.250 0.746
0.420 0.085 0.254
```

***

No. 3
A plane-wave DFT calculation with PBE was carried out for crystalline LiNi2Br at its relaxed geometry.

## Properties
Its formation energy (no corrections) is 0.269 eV/atom. As for the space-group type: I-4m2, No. 119. The density of states at the Fermi level is 2.62 states/eV/f.u. The polymorph energy (0 for the lowest one) comes out at 274 meV per atom.

Geometry as POSCAR:
```
LiNi2Br
1.0
4.691 0.001 0.000
1.750 4.352 0.000
-3.220 -2.177 2.626
Br Li Ni
1 1 2
direct
0.500 0.500 0.000
0.750 0.250 0.500
0.000 0.000 0.000
0.250 0.750 0.500
```

***

No. 4
A plane-wave DFT calculation with PBE was carried out for crystalline CaBeZn2 at its relaxed geometry.

## Properties
As for the space-group type: C2/m, No. 12. The density of states at the Fermi level is 2.19 states/eV/f.u. The total energy comes out at -1.69 eV per atom.

Geometry as POSCAR:
```
CaBeZn2
1.0
-0.875 -3.866 3.603
4.119 3.652 1.218
-1.268 1.595 1.965
Be Zn Ca
1 2 1
direct
0.000 0.500 0.500
0.000 0.000 0.000
0.500 0.000 0.500
0.500 0.500 0.000
```